Density functional theory data (PBE) for a geometry-optimized SmFe2Si3 structure.

Properties
The calculation puts the calculated density at 6.5 g cm⁻³. For the uncorrected formation energy, the calculation gives -0.596 eV per atom. The space group is Cmcm, No. 63. Its magnetic moment is 0.00 μB/cell.

a = 5.176 Å, b = 5.948 Å, c = 5.948 Å
α = 105.23°, β = 90.00°, γ = 90.00°
Sites, in units of the cell vectors:
Sm: 0.750 0.659 0.659
Si: 0.250 0.907 0.524
Fe: 0.000 0.197 0.803
Fe: 0.500 0.197 0.803
Sm: 0.250 0.341 0.341
Si: 0.250 0.933 0.933
Fe: 0.500 0.803 0.197
Si: 0.750 0.476 0.093
Fe: 0.000 0.803 0.197
Si: 0.750 0.093 0.476
Si: 0.250 0.524 0.907
Si: 0.750 0.067 0.067

Density functional theory data (PBE) for a geometry-optimized SmFe10Si2 structure.

Properties
Its energy above the most stable polymorph in this dataset is 0.0 meV per atom. The calculation puts the calculated density at 7.7 g cm⁻³. For the uncorrected formation energy, the calculation gives -0.210 eV per atom. The space group is Cmcm, No. 63. Its magnetic moment is 39.88 μB/cell.

a = 6.373 Å, b = 6.373 Å, c = 8.208 Å
α = 90.00°, β = 90.00°, γ = 97.96°
Site moments in Bohr magnetons follow the coordinates.
Sites, in units of the cell vectors:
Fe: 0.838 0.162 0.398  2.02
Fe: 0.606 0.394 0.925  2.30
Fe: 0.394 0.606 0.075  2.30
Fe: 0.387 0.130 0.750  1.73
Fe: 0.162 0.838 0.602  2.02
Fe: 0.232 0.232 0.000  2.01
Fe: 0.606 0.394 0.575  2.30
Sm: 0.877 0.123 0.750  -0.23
Si: 0.500 0.000 0.000  -0.10
Fe: 0.130 0.387 0.250  1.73
Fe: 0.759 0.520 0.250  2.35
Si: 0.000 0.500 0.500  -0.10
Fe: 0.838 0.162 0.102  2.02
Sm: 0.123 0.877 0.250  -0.23
Fe: 0.520 0.759 0.750  2.35
Fe: 0.241 0.480 0.750  2.35
Si: 0.500 0.000 0.500  -0.10
Fe: 0.162 0.838 0.898  2.02
Fe: 0.768 0.768 0.000  2.01
Fe: 0.768 0.768 0.500  2.01
Fe: 0.232 0.232 0.500  2.01
Fe: 0.480 0.241 0.250  2.35
Fe: 0.613 0.870 0.250  1.73
Fe: 0.870 0.613 0.750  1.73
Si: 0.000 0.500 0.000  -0.10
Fe: 0.394 0.606 0.425  2.30

Density functional theory data (PBE) for a geometry-optimized Sm2FeSi3 structure.

Properties
The calculation puts the calculated density at 6.2 g cm⁻³. For the uncorrected formation energy, the calculation gives -0.506 eV per atom. The space group is P-6m2, No. 187. Its magnetic moment is 2.26 μB/cell.

a = 4.065 Å, b = 4.065 Å, c = 8.277 Å
α = 90.00°, β = 90.00°, γ = 120.00°
Site moments in Bohr magnetons follow the coordinates.
Sites, in units of the cell vectors:
Fe: 0.000 0.000 0.000  1.94
Si: 0.333 0.667 0.500  0.01
Si: 0.333 0.667 0.000  -0.02
Sm: 0.667 0.333 0.753  0.02
Si: 0.000 0.000 0.500  0.03
Sm: 0.667 0.333 0.247  0.02

Density functional theory data (PBE) for a geometry-optimized Sm3Fe2Si4 structure.

Properties
The calculation puts the calculated density at 6.6 g cm⁻³. For the uncorrected formation energy, the calculation gives -0.641 eV per atom. The space group is C2/m, No. 12. Its magnetic moment is 0.00 μB/cell.

a = 4.094 Å, b = 5.785 Å, c = 7.982 Å
α = 106.03°, β = 90.00°, γ = 110.72°
Sites, in units of the cell vectors:
Sm: 0.613 0.225 0.693
Si: 0.280 0.560 0.917
Sm: 0.387 0.775 0.307
Sm: 0.000 0.000 0.000
Si: 0.720 0.440 0.083
Si: 0.117 0.233 0.403
Fe: 0.307 0.614 0.638
Si: 0.883 0.767 0.597
Fe: 0.693 0.386 0.362

Density functional theory data (PBE) for a geometry-optimized SmFeSi2 structure.

Properties
The calculation puts the calculated density at 6.4 g cm⁻³. For the uncorrected formation energy, the calculation gives -0.645 eV per atom. The space group is R-3m, No. 166. Its magnetic moment is 0.00 μB/cell.

a = 3.916 Å, b = 3.916 Å, c = 5.613 Å
α = 69.58°, β = 69.58°, γ = 60.00°
Sites, in units of the cell vectors:
Si: 0.206 0.206 0.382
Fe: 0.500 0.500 0.500
Sm: 0.000 0.000 0.000
Si: 0.794 0.794 0.618

Density functional theory data (PBE) for a geometry-optimized SmFeSi2 structure.

Properties
The calculation puts the calculated density at 6.5 g cm⁻³. For the uncorrected formation energy, the calculation gives -0.667 eV per atom. The space group is Pnma, No. 62. Its magnetic moment is 0.00 μB/cell.

a = 3.989 Å, b = 6.849 Å, c = 9.884 Å
α = 90.00°, β = 90.00°, γ = 90.00°
Sites, in units of the cell vectors:
Sm: 0.250 0.843 0.877
Si: 0.750 0.659 0.688
Fe: 0.750 0.487 0.889
Fe: 0.250 0.013 0.389
Si: 0.750 0.159 0.812
Si: 0.750 0.676 0.077
Si: 0.750 0.176 0.423
Fe: 0.750 0.987 0.611
Sm: 0.750 0.657 0.377
Si: 0.250 0.824 0.577
Si: 0.250 0.324 0.923
Si: 0.250 0.341 0.312
Sm: 0.750 0.157 0.123
Si: 0.250 0.841 0.188
Sm: 0.250 0.343 0.623
Fe: 0.250 0.513 0.111

Density functional theory data (PBE) for a geometry-optimized SmFeSi2Tc structure.

Properties
The calculation puts the calculated density at 7.1 g cm⁻³. For the uncorrected formation energy, the calculation gives -0.617 eV per atom. The space group is I-4m2, No. 119. Its magnetic moment is 1.88 μB/cell.

a = 4.039 Å, b = 4.039 Å, c = 5.876 Å
α = 110.10°, β = 110.10°, γ = 90.00°
Site moments in Bohr magnetons follow the coordinates.
Sites, in units of the cell vectors:
Si: 0.624 0.624 0.248  -0.03
Fe: 0.750 0.250 0.500  1.77
Tc: 0.250 0.750 0.500  0.23
Si: 0.376 0.376 0.752  -0.03
Sm: 0.000 0.000 0.000  -0.03

Density functional theory data (PBE) for a geometry-optimized SmFeSi3Tc structure.

Properties
The calculation puts the calculated density at 5.9 g cm⁻³. For the uncorrected formation energy, the calculation gives -0.358 eV per atom. The space group is Cmcm, No. 63. Its magnetic moment is 0.00 μB/cell.

a = 5.531 Å, b = 7.359 Å, c = 6.488 Å
α = 124.55°, β = 90.00°, γ = 90.00°
Sites, in units of the cell vectors:
Tc: 0.250 0.444 0.889
Si: 0.000 0.241 0.000
Fe: 0.750 0.962 0.924
Si: 0.750 0.765 0.531
Si: 0.500 0.759 0.000
Sm: 0.750 0.244 0.488
Si: 0.500 0.241 0.000
Si: 0.250 0.235 0.469
Tc: 0.750 0.556 0.111
Sm: 0.250 0.756 0.512
Si: 0.000 0.759 0.000
Fe: 0.250 0.038 0.076

Density functional theory data (PBE) for a geometry-optimized FeSiSn3 structure.

Properties
Its energy above the most stable polymorph in this dataset is 526.0 meV per atom. The calculation puts the calculated density at 5.4 g cm⁻³. For the uncorrected formation energy, the calculation gives 1.001 eV per atom. The space group is Pm-3m, No. 221. Its magnetic moment is 3.25 μB/cell.

a = 5.144 Å, b = 5.144 Å, c = 5.144 Å
α = 90.00°, β = 90.00°, γ = 90.00°
Site moments in Bohr magnetons follow the coordinates.
Sites, in units of the cell vectors:
Sn: 0.000 0.500 0.000  -0.04
Si: 0.000 0.000 0.000  0.00
Sn: 0.000 0.000 0.500  -0.02
Fe: 0.500 0.500 0.500  3.19
Sn: 0.500 0.000 0.000  0.00

Density functional theory data (PBE) for a geometry-optimized Fe3SiSn structure.

Properties
The calculation puts the calculated density at 4.9 g cm⁻³. For the uncorrected formation energy, the calculation gives 1.562 eV per atom. The space group is Pm-3m, No. 221. Its magnetic moment is 7.88 μB/cell.

a = 4.738 Å, b = 4.738 Å, c = 4.738 Å
α = 90.00°, β = 90.00°, γ = 90.00°
Site moments in Bohr magnetons follow the coordinates.
Sites, in units of the cell vectors:
Si: 0.500 0.500 0.500  0.07
Fe: 0.000 0.500 0.000  -2.67
Sn: 0.000 0.000 0.000  0.14
Fe: 0.500 0.000 0.000  -2.68
Fe: 0.000 0.000 0.500  -2.81

Density functional theory data (PBE) for a geometry-optimized FeSiSn3 structure.

Properties
Its energy above the most stable polymorph in this dataset is 0.0 meV per atom. The calculation puts the calculated density at 6.0 g cm⁻³. For the uncorrected formation energy, the calculation gives 0.475 eV per atom. The space group is Pm-3m, No. 221. Its magnetic moment is 1.83 μB/cell.

a = 4.954 Å, b = 4.954 Å, c = 4.954 Å
α = 90.00°, β = 90.00°, γ = 90.00°
Site moments in Bohr magnetons follow the coordinates.
Sites, in units of the cell vectors:
Si: 0.500 0.500 0.500  0.29
Sn: 0.000 0.500 0.000  0.00
Sn: 0.500 0.000 0.000  -0.01
Sn: 0.000 0.000 0.500  -0.01
Fe: 0.000 0.000 0.000  0.89

Density functional theory data (PBE) for a geometry-optimized FeSiSn2 structure.

Properties
The calculation puts the calculated density at 4.8 g cm⁻³. For the uncorrected formation energy, the calculation gives 0.628 eV per atom. The space group is I-42d, No. 122. Its magnetic moment is 5.52 μB/cell.

a = 6.201 Å, b = 6.201 Å, c = 7.215 Å
α = 64.55°, β = 64.55°, γ = 90.00°
Site moments in Bohr magnetons follow the coordinates.
Sites, in units of the cell vectors:
Sn: 0.375 0.371 0.750  -0.09
Fe: 0.000 0.000 0.000  2.72
Si: 0.250 0.750 0.500  0.05
Sn: 0.121 0.625 0.250  -0.09
Si: 0.500 0.500 0.000  0.05
Sn: 0.875 0.879 0.750  -0.09
Fe: 0.750 0.250 0.500  2.72
Sn: 0.629 0.125 0.250  -0.09

Density functional theory data (PBE) for a geometry-optimized FeSi3Sn structure.

Properties
Its energy above the most stable polymorph in this dataset is 0.0 meV per atom. The calculation puts the calculated density at 4.8 g cm⁻³. For the uncorrected formation energy, the calculation gives 0.352 eV per atom. The space group is Pm-3m, No. 221. Its magnetic moment is 0.00 μB/cell.

a = 4.464 Å, b = 4.464 Å, c = 4.464 Å
α = 90.00°, β = 90.00°, γ = 90.00°
Sites, in units of the cell vectors:
Si: 0.000 0.500 0.000
Si: 0.000 0.000 0.500
Sn: 0.500 0.500 0.500
Si: 0.500 0.000 0.000
Fe: 0.000 0.000 0.000

Density functional theory data (PBE) for a geometry-optimized SrFe2Si structure.

Properties
The calculation puts the calculated density at 4.6 g cm⁻³. For the uncorrected formation energy, the calculation gives 0.364 eV per atom. The space group is I4_1/amd, No. 141. Its magnetic moment is 0.00 μB/cell.

a = 4.519 Å, b = 4.519 Å, c = 8.592 Å
α = 74.75°, β = 74.75°, γ = 90.00°
Sites, in units of the cell vectors:
Si: 0.500 0.500 0.000
Fe: 0.375 0.625 0.250
Fe: 0.875 0.625 0.750
Fe: 0.375 0.625 0.750
Si: 0.250 0.750 0.500
Fe: 0.375 0.125 0.250
Sr: 0.000 0.000 0.000
Sr: 0.750 0.250 0.500

Density functional theory data (PBE) for a geometry-optimized SrFeSi structure.

Properties
The calculation puts the calculated density at 3.8 g cm⁻³. For the uncorrected formation energy, the calculation gives 0.503 eV per atom. The space group is F-43m, No. 216. Its magnetic moment is 3.71 μB/cell.

a = 4.736 Å, b = 4.736 Å, c = 4.736 Å
α = 60.00°, β = 60.00°, γ = 60.00°
Site moments in Bohr magnetons follow the coordinates.
Sites, in units of the cell vectors:
Si: 0.750 0.750 0.750  0.06
Sr: 0.000 0.000 0.000  0.03
Fe: 0.500 0.500 0.500  3.23

Density functional theory data (PBE) for a geometry-optimized SrFeSi structure.

Properties
The calculation puts the calculated density at 3.4 g cm⁻³. For the uncorrected formation energy, the calculation gives 1.266 eV per atom. The space group is F-43m, No. 216. Its magnetic moment is 3.52 μB/cell.

a = 4.929 Å, b = 4.929 Å, c = 4.929 Å
α = 60.00°, β = 60.00°, γ = 60.00°
Site moments in Bohr magnetons follow the coordinates.
Sites, in units of the cell vectors:
Sr: 0.750 0.750 0.750  0.02
Fe: 0.000 0.000 0.000  3.15
Si: 0.500 0.500 0.500  0.05

Density functional theory data (PBE) for a geometry-optimized SrFe2Si structure.

Properties
The calculation puts the calculated density at 4.8 g cm⁻³. For the uncorrected formation energy, the calculation gives -0.154 eV per atom. The space group is R3m, No. 160. Its magnetic moment is 3.03 μB/cell.

a = 5.998 Å, b = 5.998 Å, c = 5.998 Å
α = 39.55°, β = 39.55°, γ = 39.55°
Site moments in Bohr magnetons follow the coordinates.
Sites, in units of the cell vectors:
Sr: 0.751 0.751 0.751  -0.07
Si: 0.566 0.566 0.566  -0.05
Fe: 0.937 0.937 0.937  1.89
Fe: 0.246 0.246 0.246  1.54

Density functional theory data (PBE) for a geometry-optimized SrFe2Si structure.

Properties
The calculation puts the calculated density at 5.6 g cm⁻³. For the uncorrected formation energy, the calculation gives 0.261 eV per atom. The space group is P4/mmm, No. 123. Its magnetic moment is 3.47 μB/cell.

a = 3.180 Å, b = 3.180 Å, c = 6.712 Å
α = 90.00°, β = 90.00°, γ = 90.00°
Site moments in Bohr magnetons follow the coordinates.
Sites, in units of the cell vectors:
Sr: 0.500 0.500 0.750  -0.07
Fe: 0.000 0.000 0.087  1.91
Fe: 0.000 0.000 0.413  1.91
Si: 0.500 0.500 0.250  -0.08

Density functional theory data (PBE) for a geometry-optimized Sr2FeSi structure.

Properties
The calculation puts the calculated density at 3.6 g cm⁻³. For the uncorrected formation energy, the calculation gives 0.592 eV per atom. The space group is R-3m, No. 166. Its magnetic moment is 2.67 μB/cell.

a = 9.486 Å, b = 9.486 Å, c = 9.486 Å
α = 23.64°, β = 23.64°, γ = 23.64°
Site moments in Bohr magnetons follow the coordinates.
Sites, in units of the cell vectors:
Fe: 0.250 0.250 0.250  2.98
Sr: 0.497 0.497 0.497  -0.04
Si: 0.750 0.750 0.750  0.02
Sr: 0.003 0.003 0.003  -0.04

Density functional theory data (PBE) for a geometry-optimized SrFe3Si structure.

Properties
Its energy above the most stable polymorph in this dataset is 1923.0 meV per atom. The calculation puts the calculated density at 4.4 g cm⁻³. For the uncorrected formation energy, the calculation gives 2.375 eV per atom. The space group is Pm-3m, No. 221. Its magnetic moment is 7.54 μB/cell.

a = 4.734 Å, b = 4.734 Å, c = 4.734 Å
α = 90.00°, β = 90.00°, γ = 90.00°
Site moments in Bohr magnetons follow the coordinates.
Sites, in units of the cell vectors:
Fe: 0.000 0.000 0.500  2.44
Fe: 0.000 0.500 0.000  2.58
Si: 0.500 0.500 0.500  0.01
Fe: 0.500 0.000 0.000  2.77
Sr: 0.000 0.000 0.000  -0.20